Entry 1:
# CrBiOF2

CrBiOF2 at its PBEsol-relaxed geometry (meta-GGA SCAN, the Alexandria database).

uncorrected formation energy	-1.69	eV/atom
DFT total energy	-23.7445	eV/atom

POSCAR file:
```
CrBiOF2
1.0
3.906 0.000 0.000
0.000 4.111 0.000
0.000 0.000 4.111
F O Bi Cr
2 1 1 1
Direct
0.000 0.000 0.500
0.000 0.500 0.000
0.500 0.000 0.000
0.500 0.500 0.500
0.000 0.000 0.000
```

Entry 2:
# CrFe3Bi

CrFe3Bi at its PBEsol-relaxed geometry (meta-GGA SCAN, the Alexandria database).

formation enthalpy at 0 K	1.759	eV/atom
DFT total energy	-28.5113	eV/atom

POSCAR file:
```
CrFe3Bi
1.0
-2.626 -1.375 -3.732
0.253 -4.520 1.488
-3.969 0.622 2.564
Fe Bi Cr
3 1 1
Direct
0.000 0.000 0.500
0.000 0.500 0.000
0.500 0.000 0.000
0.000 0.000 0.000
0.500 0.500 0.500
```

Entry 3:
# CrGa2BiH

CrGa2BiH at its PBEsol-relaxed geometry (meta-GGA SCAN, the Alexandria database).

DFT total energy	-26.1807	eV/atom

POSCAR file:
```
CrGa2BiH
1.0
4.147 0.000 0.000
0.000 4.147 0.000
0.000 0.000 4.874
Ga Bi Cr H
2 1 1 1
Direct
0.500 0.000 0.000
0.000 0.500 0.000
0.000 0.000 0.500
0.500 0.500 0.500
0.000 0.000 0.000
```

Entry 4:
# K2CrGaBi

K2CrGaBi at its PBEsol-relaxed geometry (meta-GGA SCAN, the Alexandria database).

formation enthalpy at 0 K	0.428	eV/atom
DFT total energy	-25.5653	eV/atom

POSCAR file:
```
K2CrGaBi
1.0
5.157 0.000 0.000
0.000 6.638 0.000
0.000 0.000 6.638
K Ga Bi Cr
2 1 1 1
Direct
0.000 0.000 0.500
0.000 0.500 0.000
0.500 0.500 0.500
0.000 0.000 0.000
0.500 0.000 0.000
```